1.
Here is a relaxed structure of Na3TeO4 from Alexandria via LeMat-Bulk. Energies are from PBE.

abc: 7.7413 6.6663 5.0686
angles: 90.00 90.00 90.00
Element x y z (fractional)
Na1 0.0000 0.1647 0.0001
Na2 0.2427 0.3308 0.5000
Na3 0.2573 0.6692 0.0000
Na4 0.5000 0.8353 0.5001
Na5 0.7427 0.6692 0.0000
Na6 0.7573 0.3308 0.5000
Te1 0.0000 0.8290 0.4792
Te2 0.5000 0.1710 0.9792
O1 0.0000 0.1214 0.5159
O2 0.0000 0.8258 0.1062
O3 0.2179 0.6826 0.5190
O4 0.2821 0.3174 0.0190
O5 0.5000 0.1742 0.6062
O6 0.5000 0.8786 0.0159
O7 0.7179 0.3174 0.0190
O8 0.7821 0.6826 0.5190

Properties
For the raw formation energy, the calculation gives -1.403 eV per atom. The value obtained for the density of states at the Fermi level is 3.86 states/eV/cell. The electronic total energy comes out at -38.2 eV per formula unit. The value obtained for the energy above the lowest structure with this stoichiometry is 0.00 kJ/mol of atoms.

***

2.
Here is a relaxed structure of ScFe2P from Alexandria via LeMat-Bulk. Energies are from PBE.

abc: 3.7113 3.7113 3.9715
angles: 90.00 90.00 90.00
Element x y z (fractional)
Sc1 0.0000 0.0000 0.0000
Fe1 0.0000 0.5000 0.5000
Fe2 0.5000 0.0000 0.5000
P1 0.5000 0.5000 0.0000

Properties
The value obtained for the density of states at the Fermi level is 2.59 states/eV/cell. The electronic total energy comes out at -30.0 eV per formula unit. Its energy of formation from the pure elements is -0.3426 eV/atom.

***

3.
Here is a relaxed structure of Nd12Tl4CdO3 from Alexandria via LeMat-Bulk. Energies are from PBE.

abc: 8.9853 8.9853 8.9853
angles: 109.47 109.47 109.47
Element x y z (fractional)
Nd1 0.0000 0.2732 0.2732
Nd2 0.0000 0.7268 0.7268
Nd3 0.2500 0.5000 0.7500
Nd4 0.2500 0.7500 0.5000
Nd5 0.2732 0.0000 0.2732
Nd6 0.2732 0.2732 0.0000
Nd7 0.5000 0.2500 0.7500
Nd8 0.5000 0.7500 0.2500
Nd9 0.7268 0.0000 0.7268
Nd10 0.7268 0.7268 0.0000
Nd11 0.7500 0.2500 0.5000
Nd12 0.7500 0.5000 0.2500
Tl1 0.0000 0.0000 0.5000
Tl2 0.0000 0.5000 0.0000
Tl3 0.5000 0.0000 0.0000
Tl4 0.5000 0.5000 0.5000
Cd1 0.0000 0.0000 0.0000
O1 0.0000 0.5000 0.5000
O2 0.5000 0.0000 0.5000
O3 0.5000 0.5000 0.0000

Properties
For the raw formation energy, the calculation gives -0.878 eV per atom. The value obtained for the density of states at the Fermi level is 13.54 states/eV/cell. The electronic total energy comes out at -100.0 eV per formula unit.

***

4.
Here is a relaxed structure of CsDyPb2Cl8 from Alexandria via LeMat-Bulk. Energies are from PBE.

abc: 6.6461 6.9073 9.3043
angles: 86.02 85.91 87.94
Element x y z (fractional)
Cs1 0.0000 0.0000 0.0000
Dy1 0.0000 0.0000 0.5000
Pb1 0.4899 0.4947 0.2500
Pb2 0.5101 0.5053 0.7500
Cl1 0.2310 0.8363 0.6978
Cl2 0.2377 0.3102 0.4844
Cl3 0.2418 0.8455 0.2959
Cl4 0.2708 0.3957 0.0310
Cl5 0.7292 0.6043 0.9690
Cl6 0.7582 0.1545 0.7041
Cl7 0.7623 0.6898 0.5156
Cl8 0.7690 0.1637 0.3022

Properties
For the raw formation energy, the calculation gives -1.655 eV per atom. The value obtained for the density of states at the Fermi level is 0.00 states/eV/cell. The electronic total energy comes out at -47.5 eV per formula unit.

***

5.
Here is a relaxed structure of Zr2ZnPt from Alexandria via LeMat-Bulk. Energies are from PBE.

abc: 4.3079 5.5019 5.5019
angles: 36.10 90.00 90.00
Element x y z (fractional)
Zr1 0.0000 0.0000 0.0000
Zr2 0.5000 0.2948 0.2948
Zn1 0.0000 0.7287 0.7287
Pt1 0.5000 0.5685 0.5685

Properties
The value obtained for the density of states at the Fermi level is 3.24 states/eV/cell. The electronic total energy comes out at -27.0 eV per formula unit. Its energy of formation from the pure elements is -0.6362 eV/atom.

***

6.
Here is a relaxed structure of Ba2SiAsPd6 from Alexandria via LeMat-Bulk. Energies are from PBE.

abc: 6.7558 6.7565 6.7665
angles: 60.17 60.19 60.19
Element x y z (fractional)
Ba1 0.2152 0.3528 0.2162
Ba2 0.7848 0.6472 0.7838
Si1 0.5000 0.5000 0.5000
As1 0.0000 0.0000 0.0000
Pd1 0.2532 0.8322 0.6620
Pd2 0.2536 0.8308 0.2521
Pd3 0.3377 0.1677 0.7480
Pd4 0.6623 0.8323 0.2520
Pd5 0.7464 0.1692 0.7479
Pd6 0.7468 0.1678 0.3380

Properties
For the raw formation energy, the calculation gives -0.677 eV per atom. The value obtained for the density of states at the Fermi level is 2.78 states/eV/cell. The electronic total energy comes out at -51.8 eV per formula unit.

***

Q: Among the records above, which one has the lowest electronic total energy?
A: Nd12Tl4CdO3

***

Copy entry 3 word for word.
Here is a relaxed structure of Nd12Tl4CdO3 from Alexandria via LeMat-Bulk. Energies are from PBE.

abc: 8.9853 8.9853 8.9853
angles: 109.47 109.47 109.47
Element x y z (fractional)
Nd1 0.0000 0.2732 0.2732
Nd2 0.0000 0.7268 0.7268
Nd3 0.2500 0.5000 0.7500
Nd4 0.2500 0.7500 0.5000
Nd5 0.2732 0.0000 0.2732
Nd6 0.2732 0.2732 0.0000
Nd7 0.5000 0.2500 0.7500
Nd8 0.5000 0.7500 0.2500
Nd9 0.7268 0.0000 0.7268
Nd10 0.7268 0.7268 0.0000
Nd11 0.7500 0.2500 0.5000
Nd12 0.7500 0.5000 0.2500
Tl1 0.0000 0.0000 0.5000
Tl2 0.0000 0.5000 0.0000
Tl3 0.5000 0.0000 0.0000
Tl4 0.5000 0.5000 0.5000
Cd1 0.0000 0.0000 0.0000
O1 0.0000 0.5000 0.5000
O2 0.5000 0.0000 0.5000
O3 0.5000 0.5000 0.0000

Properties
For the raw formation energy, the calculation gives -0.878 eV per atom. The value obtained for the density of states at the Fermi level is 13.54 states/eV/cell. The electronic total energy comes out at -100.0 eV per formula unit.